[1]
## TlCd2FeRh (GGA-PBEsol)

Data for an optimized crystal structure of TlCd2FeRh.

Lattice parameters (Å, degrees): 5.1030 5.1030 4.5967 90.00 90.00 90.00
Closest atoms and distances in Å follow each position.
Positions (direct):
Tl (0.0000, 0.0000, 0.0000)  8 Cd 3.43, 4 Fe 3.61
Cd (0.0000, 0.5000, 0.5000)  2 Rh 2.55
Cd (0.5000, 0.0000, 0.5000)  2 Rh 2.55
Fe (0.5000, 0.5000, 0.0000)  2 Rh 2.30
Rh (0.5000, 0.5000, 0.5000)  2 Fe 2.30, 4 Cd 2.55

Computed properties:
- Space group: P4/mmm
- Energy: -3.827 eV/atom
- Formation energy: 0.60 eV/atom

---

[2]
## ZnCd2Ag (GGA-PBEsol)

Data for an optimized crystal structure of ZnCd2Ag.

Lattice parameters (Å, degrees): 3.0154 3.0154 7.7450 90.00 90.00 90.00
Closest atoms and distances in Å follow each position.
Positions (direct):
Zn (0.0000, 0.0000, 0.0000)  8 Cd 2.84, 4 Zn 3.02
Cd (0.5000, 0.5000, 0.2423)  4 Zn 2.84, 4 Ag 2.92, 4 Cd 3.02
Cd (0.5000, 0.5000, 0.7577)  4 Zn 2.84, 4 Ag 2.92, 4 Cd 3.02
Ag (0.0000, 0.0000, 0.5000)  8 Cd 2.92, 4 Ag 3.02

Computed properties:
- Space group: P4/mmm
- Energy: -1.811 eV/atom
- Formation energy: 0.01 eV/atom